NaMo2O6F, optimized geometry, DFT GGA+U; space group = C2/c, No. 15; total energy = -6.409 eV/atom; DOS at the Fermi energy = 0.0000 states/eV/atom
1.0
6.9197 0.1600 0.1660
2.4816 6.5686 0.1753
2.4816 -0.0683 6.5706
O Na Mo F
12 2 4 2
Cartesian
5.4042 0.7921 4.3454
6.8424 0.8077 2.0151
3.3825 1.9038 0.7988
5.0406 5.8526 4.8968
8.6208 2.5350 3.1183
6.7220 3.7180 4.3460
6.4788 5.8681 2.5665
9.9386 2.4272 6.0422
5.1610 2.9422 2.5658
1.9443 4.2331 0.8696
3.2621 4.1253 3.7936
8.5004 4.7565 6.1131
7.6714 6.4632 0.5170
4.2115 0.1971 6.3949
6.4369 1.8006 3.3953
8.9059 3.4140 5.0697
2.9771 3.2463 1.8422
5.4460 4.8597 3.5165
4.2115 5.0262 1.7416
7.6714 1.6341 5.1703